1.
A plane-wave DFT calculation with PBE-GGA was carried out for a relaxed structure of LiCoTc2.

The structure belongs to space group C2/m (No. 12); the cell edges are 5.033, 8.326 and 2.530 Å and the angles 90.00°, 100.08° and 90.00°. The inequivalent atoms are Li at (0.000, 0.000, 0.000), Co at (0.000, 0.500, 0.000) and Tc at (0.250, 0.250, 0.500).

As for the total energy: -7.190 eV/atom. The polymorph energy (0 for the lowest one) is 70 meV per atom. The value obtained for the magnetization is 1.4 μB/f.u. The calculation puts the formation enthalpy at 0 K at 23.9 kJ/mol of atoms.

2.
A plane-wave DFT calculation with PBE-GGA was carried out for a relaxed structure of Ac2LaCe3Te6.

The structure belongs to space group C2/m (No. 12); the cell edges are 7.896, 13.696 and 8.039 Å and the angles 90.00°, 109.16° and 90.00°. The inequivalent atoms are Ac at (0.000, 0.166, 0.000), La at (0.000, 0.500, 0.000), Ce at (0.000, 0.000, 0.500), Ce at (0.000, 0.330, 0.500), Te at (0.240, 0.500, 0.736) and Te at (0.249, 0.164, 0.739).

For the uncorrected formation energy, the calculation gives -1.4407 eV/atom. As for the total energy: -5.590 eV/atom. The value obtained for the magnetization is 3.5 μB/f.u.

3.
A plane-wave DFT calculation with PBE-GGA was carried out for a relaxed structure of Pm8YGe6.

The structure belongs to space group R-3 (No. 148, hexagonal axes); the cell edges are 7.9307, 7.9307 and 24.2793 Å and the angles 90.00°, 90.00° and 120.00°. The inequivalent atoms are Pm at (0.0000, 0.0000, 0.1667), Pm at (0.0001, 0.3348, 0.3821), Y at (0.0000, 0.0000, 0.5000) and Ge at (0.9999, 0.3305, 0.5687).

As for the total energy: -5.424 eV/atom. The value obtained for the magnetization is 0.0 μB/f.u. The calculation puts the formation enthalpy at 0 K at -59.1 kJ/mol of atoms.

4.
A plane-wave DFT calculation with PBE-GGA was carried out for a relaxed structure of Cs4InSn3Br12.

The structure belongs to space group Im-3m (No. 229); the cell edges are 11.703, 11.703 and 11.703 Å and the angles 90.00°, 90.00° and 90.00°. The inequivalent atoms are Cs at (0.250, 0.250, 0.250), In at (0.000, 0.000, 0.000), Sn at (0.000, 0.000, 0.500), Br at (0.000, 0.000, 0.249) and Br at (0.000, 0.250, 0.500).

For the uncorrected formation energy, the calculation gives -1.2121 eV/atom. As for the total energy: -3.124 eV/atom. The value obtained for the magnetization is 0.0 μB/f.u.

5.
A plane-wave DFT calculation with PBE-GGA was carried out for a relaxed structure of ZrAlP2Se.

The structure belongs to space group P4/mmm (No. 123); the cell edges are 4.372, 4.372 and 5.727 Å and the angles 90.00°, 90.00° and 90.00°. The inequivalent atoms are Zr at (0.000, 0.000, 0.000), Al at (0.000, 0.000, 0.500), P at (0.000, 0.500, 0.500) and Se at (0.500, 0.500, 0.000).

For the uncorrected formation energy, the calculation gives 0.4509 eV/atom. As for the total energy: -4.868 eV/atom. The value obtained for the magnetization is 0.0 μB/f.u.

6.
A plane-wave DFT calculation with PBE-GGA was carried out for a relaxed structure of ZrNi2Os.

The structure belongs to space group P4mm (No. 99); the cell edges are 3.213, 3.213 and 5.623 Å and the angles 90.00°, 90.00° and 90.00°. The inequivalent atoms are Zr at (0.000, 0.000, 0.000), Ni at (0.000, 0.000, 0.490), Ni at (0.500, 0.500, 0.262) and Os at (0.500, 0.500, 0.703).

As for the total energy: -7.948 eV/atom. The value obtained for the magnetization is 0.0 μB/f.u. The calculation puts the formation enthalpy at 0 K at -10.9 kJ/mol of atoms.